(1)
The following is a DFT calculation (PBE) of SrLa2Os after structural relaxation.

Values from the calculation:
For the energy relative to the lowest polymorph listed for this composition, the calculation gives 0.44 eV/f.u. The value obtained for the volume is 294 Å³ per cell. The total energy is -5.642 eV per atom. For the magnetic moment, the calculation gives 0.00 μB per cell. As for the symmetry: Cm, No. 8.

abc: 12.489 3.982 6.906
angles: 90.00 121.29 90.00
Atoms (fractional coordinates):
Sr 0.000 0.000 0.000
Sr 0.500 0.500 0.000
La 0.147 0.500 0.666
La 0.320 0.500 0.299
La 0.647 0.000 0.666
La 0.820 0.000 0.299
Os 0.269 0.000 0.990
Os 0.769 0.500 0.990



(2)
The following is a DFT calculation (PBE) of LiSb2I after structural relaxation.

Values from the calculation:
For the energy relative to the lowest polymorph listed for this composition, the calculation gives 0.00 eV/f.u. The value obtained for the volume is 526 Å³ per cell. The total energy is -3.201 eV per atom. For the magnetic moment, the calculation gives 0.00 μB per cell. As for the symmetry: I-42d, No. 122.

abc: 4.252 4.252 29.084
angles: 90.00 90.00 90.00
Atoms (fractional coordinates):
Li 0.000 0.000 0.000
Li 0.000 0.500 0.250
Li 0.500 0.000 0.750
Li 0.500 0.500 0.500
Sb 0.220 0.250 0.125
Sb 0.250 0.720 0.375
Sb 0.250 0.780 0.875
Sb 0.280 0.250 0.625
Sb 0.720 0.750 0.625
Sb 0.750 0.220 0.875
Sb 0.750 0.280 0.375
Sb 0.780 0.750 0.125
I 0.000 0.000 0.500
I 0.000 0.500 0.750
I 0.500 0.000 0.250
I 0.500 0.500 0.000



(3)
The following is a DFT calculation (PBE) of TlCd2Ge after structural relaxation.

Values from the calculation:
For the energy relative to the lowest polymorph listed for this composition, the calculation gives 0.01 eV/f.u. The value obtained for the volume is 96 Å³ per cell. The total energy is -2.061 eV per atom. For the magnetic moment, the calculation gives 0.00 μB per cell. As for the symmetry: P4/mmm, No. 123.

abc: 3.295 3.295 8.873
angles: 90.00 90.00 90.00
Atoms (fractional coordinates):
Tl 0.000 0.000 0.000
Cd 0.500 0.500 0.276
Cd 0.500 0.500 0.724
Ge 0.000 0.000 0.500



(4)
The following is a DFT calculation (PBE) of Tb2SmTh3S6 after structural relaxation.

Values from the calculation:
The value obtained for the volume is 271 Å³ per cell. The total energy is -6.996 eV per atom. For the magnetic moment, the calculation gives 0.00 μB per cell. As for the symmetry: C2/m, No. 12.

abc: 6.824 6.824 7.062
angles: 99.22 99.22 119.55
Atoms (fractional coordinates):
Tb 0.167 0.833 0.000
Tb 0.833 0.167 0.000
Sm 0.500 0.500 0.000
Th 0.000 0.000 0.500
Th 0.335 0.665 0.500
Th 0.665 0.335 0.500
S 0.082 0.420 0.761
S 0.241 0.241 0.237
S 0.420 0.082 0.761
S 0.580 0.918 0.239
S 0.759 0.759 0.763
S 0.918 0.580 0.239



(5)
The following is a DFT calculation (PBE) of K2NaZnSb2 after structural relaxation.

Values from the calculation:
The value obtained for the volume is 397 Å³ per cell. The total energy is -2.527 eV per atom. For the magnetic moment, the calculation gives 0.00 μB per cell. As for the symmetry: Ibam, No. 72.

abc: 9.409 9.409 9.409
angles: 135.52 64.07 136.37
Atoms (fractional coordinates):
K 0.169 0.242 0.411
K 0.331 0.742 0.072
K 0.669 0.258 0.928
K 0.831 0.758 0.589
Na 0.250 0.250 0.000
Na 0.750 0.750 0.000
Zn 0.250 0.750 0.500
Zn 0.750 0.250 0.500
Sb 0.099 0.710 0.809
Sb 0.401 0.210 0.611
Sb 0.599 0.790 0.389
Sb 0.901 0.290 0.191



(6)
The following is a DFT calculation (PBE) of CsScBr4 after structural relaxation.

Values from the calculation:
For the energy relative to the lowest polymorph listed for this composition, the calculation gives 0.00 eV/f.u. The value obtained for the volume is 511 Å³ per cell. The total energy is -4.063 eV per atom. For the magnetic moment, the calculation gives 0.00 μB per cell. As for the symmetry: C2/c, No. 15.

abc: 9.694 9.694 6.820
angles: 106.61 106.61 112.02
Atoms (fractional coordinates):
Cs 0.173 0.827 0.750
Cs 0.827 0.173 0.250
Sc 0.429 0.571 0.250
Sc 0.571 0.429 0.750
Br 0.154 0.517 0.269
Br 0.283 0.388 0.795
Br 0.388 0.283 0.295
Br 0.483 0.846 0.231
Br 0.517 0.154 0.769
Br 0.612 0.717 0.705
Br 0.717 0.612 0.205
Br 0.846 0.483 0.731



(7)
The following is a DFT calculation (PBE) of Sr2In3BiPt4 after structural relaxation.

Values from the calculation:
The value obtained for the volume is 246 Å³ per cell. The total energy is -4.612 eV per atom. For the magnetic moment, the calculation gives 0.00 μB per cell. As for the symmetry: P-4m2, No. 115.

abc: 4.830 4.830 10.565
angles: 90.00 90.00 90.00
Atoms (fractional coordinates):
Sr 0.000 0.500 0.231
Sr 0.500 0.000 0.769
In 0.000 0.500 0.883
In 0.500 0.000 0.117
In 0.500 0.500 0.500
Bi 0.000 0.000 0.500
Pt 0.000 0.000 0.000
Pt 0.000 0.500 0.631
Pt 0.500 0.000 0.369
Pt 0.500 0.500 0.000